1.
DFT (GGA-PBE) results for a geometry-optimized ZnF structure.

a b c (Å): 5.6999 5.7441 9.4058
angles (deg): 90.00 90.00 90.00
With the nearest neighbours (Å) after each atom.
Sites, in units of the cell vectors:
F 0.7833 0.2758 0.9207  3 Zn 2.06-2.15
F 0.9717 0.5300 0.1716  3 Zn 2.06-2.15
F 0.4717 0.9700 0.8284  3 Zn 2.06-2.15
Zn 0.2238 0.3246 0.2868  3 F 2.06-2.15
Zn 0.4231 0.5264 0.4644  3 F 2.06-2.15
Zn 0.0769 0.4736 0.9644  3 F 2.06-2.15
F 0.2167 0.7758 0.5793  3 Zn 2.06-2.15
Zn 0.2762 0.6754 0.7868  3 F 2.06-2.15
F 0.7167 0.7242 0.4207  3 Zn 2.06-2.15
F 0.2833 0.2242 0.0793  3 Zn 2.06-2.15
Zn 0.5769 0.0264 0.0356  3 F 2.06-2.15
Zn 0.9231 0.9736 0.5356  3 F 2.06-2.15
Zn 0.7238 0.1754 0.7132  3 F 2.06-2.15
F 0.5283 0.4700 0.6716  3 Zn 2.06-2.15
Zn 0.7762 0.8246 0.2132  3 F 2.06-2.15
F 0.0283 0.0300 0.3284  3 Zn 2.06-2.15

Computed properties:
Space group ... P2_12_12_1, No. 19
E_form (uncorrected) ... -1.644 eV per atom

---

2.
DFT (GGA-PBE) results for a geometry-optimized CeAlGaGe structure.

a b c (Å): 4.2130 4.3030 4.4823
angles (deg): 90.00 90.00 90.00
With the nearest neighbours (Å) after each atom.
Sites, in units of the cell vectors:
Al 0.0000 0.0000 0.0000  4 Ga 3.01, 4 Ge 3.08, 4 Ce 3.11
Ce 0.0000 0.5000 0.5000  4 Ge 3.01, 4 Ga 3.08, 4 Al 3.11
Ga 0.5000 0.5000 0.0000  4 Al 3.01, 4 Ce 3.08, 4 Ge 3.11
Ge 0.5000 0.0000 0.5000  4 Ce 3.01, 4 Al 3.08, 4 Ga 3.11

Computed properties:
Space group ... Pmmm, No. 47

---

3.
DFT (GGA-PBE) results for a geometry-optimized Pu3HPt structure.

a b c (Å): 4.9830 6.9075 6.3330
angles (deg): 90.00 113.21 90.00
With the nearest neighbours (Å) after each atom.
Sites, in units of the cell vectors:
Pu 0.1397 0.9718 0.7790  2 H 2.32-2.48
Pu 0.5655 0.2500 0.6311  2 H 2.53
Pt 0.6781 0.7500 0.8558  7 Pu 2.83-2.96
H 0.9722 0.7500 0.4442  6 Pu 2.32-2.53
Pu 0.8603 0.0282 0.2210  2 H 2.32-2.48
Pu 0.1397 0.5282 0.7790  2 H 2.32-2.48
H 0.0278 0.2500 0.5558  6 Pu 2.32-2.53
Pu 0.8603 0.4718 0.2210  2 H 2.32-2.48
Pu 0.4345 0.7500 0.3689  2 H 2.53
Pt 0.3219 0.2500 0.1442  7 Pu 2.83-2.96

Computed properties:
Space group ... Cmcm, No. 63
Offset from the most stable computed form ... 0.00 kJ/mol of atoms

---

4.
DFT (GGA-PBE) results for a geometry-optimized CaYNiAu structure.

a b c (Å): 4.9770 4.9770 4.9770
angles (deg): 60.00 60.00 60.00
With the nearest neighbours (Å) after each atom.
Sites, in units of the cell vectors:
Ni 0.0000 0.0000 0.0000  4 Ca 3.05, 4 Y 3.05
Ca 0.2500 0.2500 0.2500  4 Ni 3.05, 4 Au 3.05
Au 0.5000 0.5000 0.5000  4 Ca 3.05, 4 Y 3.05
Y 0.7500 0.7500 0.7500  4 Au 3.05, 4 Ni 3.05

Computed properties:
Space group ... F-43m, No. 216

---

Number 1: electronic total energy -3.216 eV/atom. Number 2: electronic total energy -4.815 eV/atom. Number 3: electronic total energy -10.776 eV/atom. Number 4: electronic total energy -4.858 eV/atom.